## one
A plane-wave DFT calculation with GGA-PBEsol was carried out for a relaxed structure of BaIrW2.

Cell lengths 9.3392, 3.0260, 6.5750 Å; angles 90.00, 102.50, 90.00 degrees
Sites, in units of the cell vectors:
1 Ba 0.0000 0.0000 0.0000
2 Ba 0.5000 0.5000 0.0000
3 Ir 0.2348 0.0000 0.6630
4 Ir 0.7348 0.5000 0.6630
5 W 0.0122 0.5000 0.5142
6 W 0.2966 0.5000 0.3746
7 W 0.5122 0.0000 0.5142
8 W 0.7966 0.0000 0.3746

Summary:
Space group ... Cm, No. 8



## two
A plane-wave DFT calculation with GGA-PBEsol was carried out for a relaxed structure of BaIrW2.

Cell lengths 2.8210, 5.1979, 11.0243 Å; angles 90.00, 90.00, 90.00 degrees
Sites, in units of the cell vectors:
1 Ba 0.0000 0.0000 0.0000
2 Ba 0.5000 0.5000 0.5000
3 Ir 0.0000 0.0000 0.5000
4 Ir 0.5000 0.5000 0.0000
5 W 0.0000 0.5000 0.2074
6 W 0.0000 0.5000 0.7926
7 W 0.5000 0.0000 0.2926
8 W 0.5000 0.0000 0.7074

Summary:
Space group ... Immm, No. 71



## three
A plane-wave DFT calculation with GGA-PBEsol was carried out for a relaxed structure of BaIrW2.

Cell lengths 6.6904, 6.6904, 6.6904 Å; angles 90.00, 90.00, 90.00 degrees
Sites, in units of the cell vectors:
1 Ba 0.0000 0.0000 0.0000
2 Ba 0.0000 0.5000 0.5000
3 Ba 0.5000 0.0000 0.5000
4 Ba 0.5000 0.5000 0.0000
5 Ir 0.2500 0.2500 0.7500
6 Ir 0.2500 0.7500 0.2500
7 Ir 0.7500 0.2500 0.2500
8 Ir 0.7500 0.7500 0.7500
9 W 0.0000 0.0000 0.5000
10 W 0.0000 0.5000 0.0000
11 W 0.2500 0.2500 0.2500
12 W 0.2500 0.7500 0.7500
13 W 0.5000 0.0000 0.0000
14 W 0.5000 0.5000 0.5000
15 W 0.7500 0.2500 0.7500
16 W 0.7500 0.7500 0.2500

Summary:
Space group ... F-43m, No. 216



## four
A plane-wave DFT calculation with GGA-PBEsol was carried out for a relaxed structure of BaIrW2.

Cell lengths 5.4966, 9.8664, 2.8180 Å; angles 90.00, 90.00, 90.00 degrees
Sites, in units of the cell vectors:
1 Ba 0.0000 0.0000 0.0000
2 Ba 0.5000 0.5000 0.0000
3 Ir 0.0000 0.5000 0.0000
4 Ir 0.5000 0.0000 0.0000
5 W 0.2500 0.2500 0.5000
6 W 0.2500 0.7500 0.5000
7 W 0.7500 0.2500 0.5000
8 W 0.7500 0.7500 0.5000

Summary:
Space group ... Cmmm, No. 65



Relative energies in meV/atom: one 0; two 159; three 488; four 697



## one
A plane-wave DFT calculation with GGA-PBEsol was carried out for a relaxed structure of BaYIr.

Cell lengths 7.0343, 7.0343, 7.0343 Å; angles 90.00, 90.00, 90.00 degrees
Sites, in units of the cell vectors:
1 Ba 0.0000 0.0000 0.0000
2 Ba 0.0000 0.5000 0.5000
3 Ba 0.5000 0.0000 0.5000
4 Ba 0.5000 0.5000 0.0000
5 Y 0.0000 0.0000 0.5000
6 Y 0.0000 0.5000 0.0000
7 Y 0.5000 0.0000 0.0000
8 Y 0.5000 0.5000 0.5000
9 Ir 0.2500 0.2500 0.7500
10 Ir 0.2500 0.7500 0.2500
11 Ir 0.7500 0.2500 0.2500
12 Ir 0.7500 0.7500 0.7500

Summary:
Space group ... F-43m, No. 216



## two
A plane-wave DFT calculation with GGA-PBEsol was carried out for a relaxed structure of BaYIr.

Cell lengths 3.5576, 3.5576, 14.0189 Å; angles 90.00, 90.00, 90.00 degrees
Sites, in units of the cell vectors:
1 Ba 0.0000 0.0000 0.0000
2 Ba 0.5000 0.5000 0.5000
3 Y 0.0000 0.0000 0.7557
4 Y 0.5000 0.5000 0.2557
5 Ir 0.0000 0.0000 0.3493
6 Ir 0.5000 0.5000 0.8493

Summary:
Space group ... I4mm, No. 107



Relative energies in meV/atom: one 114; two 0



## one
A plane-wave DFT calculation with GGA-PBEsol was carried out for a relaxed structure of Ba2YIr.

Cell lengths 3.6739, 3.6739, 10.1569 Å; angles 90.00, 90.00, 90.00 degrees
Sites, in units of the cell vectors:
1 Ba 0.0000 0.0000 0.1781
2 Ba 0.0000 0.0000 0.8219
3 Y 0.5000 0.5000 0.5000
4 Ir 0.5000 0.5000 0.0000

Summary:
Space group ... P4/mmm, No. 123



## two
A plane-wave DFT calculation with GGA-PBEsol was carried out for a relaxed structure of Ba2YIr.

Cell lengths 3.8203, 4.1559, 18.6294 Å; angles 90.00, 90.00, 90.00 degrees
Sites, in units of the cell vectors:
1 Ba 0.0000 0.0000 0.0000
2 Ba 0.0000 0.5000 0.5000
3 Ba 0.5000 0.0000 0.3035
4 Ba 0.5000 0.5000 0.8035
5 Y 0.5000 0.0000 0.6434
6 Y 0.5000 0.5000 0.1434
7 Ir 0.0000 0.0000 0.1643
8 Ir 0.0000 0.5000 0.6643

Summary:
Space group ... Amm2, No. 38



Relative energies in meV/atom: one 510; two 0



## one
A plane-wave DFT calculation with GGA-PBEsol was carried out for a relaxed structure of BaZn3Ir.

Cell lengths 4.8413, 4.8413, 4.8413 Å; angles 90.00, 90.00, 90.00 degrees
Sites, in units of the cell vectors:
1 Ba 0.0000 0.0000 0.0000
2 Zn 0.0000 0.5000 0.5000
3 Zn 0.5000 0.0000 0.5000
4 Zn 0.5000 0.5000 0.0000
5 Ir 0.5000 0.5000 0.5000

Summary:
Space group ... Pm-3m, No. 221



## two
A plane-wave DFT calculation with GGA-PBEsol was carried out for a relaxed structure of BaZn3Ir.

Cell lengths 6.7662, 6.7662, 6.7662 Å; angles 121.80, 90.77, 117.36 degrees
Sites, in units of the cell vectors:
1 Ba 0.3363 0.0863 0.2500
2 Ba 0.6637 0.9137 0.7500
3 Zn 0.1759 0.4259 0.7500
4 Zn 0.2074 0.0000 0.7074
5 Zn 0.2074 0.5000 0.2074
6 Zn 0.7926 0.0000 0.2926
7 Zn 0.7926 0.5000 0.7926
8 Zn 0.8241 0.5741 0.2500
9 Ir 0.0000 0.5000 0.5000
10 Ir 0.5000 0.5000 0.0000

Summary:
Space group ... Imma, No. 74



Relative energies in meV/atom: one 20; two 0



## one
A plane-wave DFT calculation with GGA-PBEsol was carried out for a relaxed structure of BaZr2Ir.

Cell lengths 5.0274, 5.0274, 3.2807 Å; angles 90.00, 90.00, 90.00 degrees
Sites, in units of the cell vectors:
1 Ba 0.0000 0.0000 0.0000
2 Zr 0.0000 0.5000 0.5000
3 Zr 0.5000 0.0000 0.5000
4 Ir 0.5000 0.5000 0.0000

Summary:
Space group ... P4/mmm, No. 123



## two
A plane-wave DFT calculation with GGA-PBEsol was carried out for a relaxed structure of BaZr2Ir.

Cell lengths 3.3787, 3.3787, 8.5893 Å; angles 90.00, 90.00, 90.00 degrees
Sites, in units of the cell vectors:
1 Ba 0.0000 0.0000 0.0000
2 Zr 0.5000 0.5000 0.3302
3 Zr 0.5000 0.5000 0.6698
4 Ir 0.0000 0.0000 0.5000

Summary:
Space group ... P4/mmm, No. 123



## three
A plane-wave DFT calculation with GGA-PBEsol was carried out for a relaxed structure of BaZr2Ir.

Cell lengths 4.2472, 4.2472, 21.6662 Å; angles 90.00, 90.00, 120.00 degrees
Sites, in units of the cell vectors:
1 Ba 0.0000 0.0000 0.0000
2 Ba 0.3333 0.6667 0.6667
3 Ba 0.6667 0.3333 0.3333
4 Zr 0.0000 0.0000 0.2126
5 Zr 0.0000 0.0000 0.7874
6 Zr 0.3333 0.6667 0.4541
7 Zr 0.3333 0.6667 0.8793
8 Zr 0.6667 0.3333 0.1207
9 Zr 0.6667 0.3333 0.5459
10 Ir 0.0000 0.0000 0.5000
11 Ir 0.3333 0.6667 0.1667
12 Ir 0.6667 0.3333 0.8333

Summary:
Space group ... R-3m, No. 166



Relative energies in meV/atom: one 472; two 42; three 0



## one
A plane-wave DFT calculation with GGA-PBEsol was carried out for a relaxed structure of BaZrIr2.

Cell lengths 4.1134, 3.6949, 12.7425 Å; angles 90.00, 90.00, 90.00 degrees
Sites, in units of the cell vectors:
1 Ba 0.0000 0.0000 0.0000
2 Ba 0.0000 0.5000 0.5000
3 Zr 0.5000 0.0000 0.7299
4 Zr 0.5000 0.5000 0.2299
5 Ir 0.0000 0.0000 0.2538
6 Ir 0.0000 0.5000 0.7538
7 Ir 0.5000 0.0000 0.3789
8 Ir 0.5000 0.5000 0.8789

Summary:
Space group ... Amm2, No. 38



## two
A plane-wave DFT calculation with GGA-PBEsol was carried out for a relaxed structure of BaZrIr2.

Cell lengths 10.0397, 3.1322, 6.0104 Å; angles 90.00, 100.47, 90.00 degrees
Sites, in units of the cell vectors:
1 Ba 0.0000 0.0000 0.0000
2 Ba 0.5000 0.5000 0.0000
3 Zr 0.3100 0.5000 0.4316
4 Zr 0.8100 0.0000 0.4316
5 Ir 0.0271 0.5000 0.4940
6 Ir 0.2243 0.0000 0.7231
7 Ir 0.5271 0.0000 0.4940
8 Ir 0.7243 0.5000 0.7231

Summary:
Space group ... Cm, No. 8



Relative energies in meV/atom: one 0; two 116



## one
A plane-wave DFT calculation with GGA-PBEsol was carried out for a relaxed structure of KBa2Li2.

Cell lengths 10.6569, 10.6569, 4.0551 Å; angles 90.00, 90.00, 90.00 degrees
Sites, in units of the cell vectors:
1 K 0.0000 0.0000 0.0000
2 K 0.5000 0.5000 0.0000
3 Ba 0.1335 0.3665 0.0000
4 Ba 0.3665 0.8665 0.0000
5 Ba 0.6335 0.1335 0.0000
6 Ba 0.8665 0.6335 0.0000
7 Li 0.1591 0.6591 0.5000
8 Li 0.3409 0.1591 0.5000
9 Li 0.6591 0.8409 0.5000
10 Li 0.8409 0.3409 0.5000

Summary:
Space group ... P4/mbm, No. 127



## two
A plane-wave DFT calculation with GGA-PBEsol was carried out for a relaxed structure of KBa2Li2.

Cell lengths 4.1325, 4.1325, 26.7940 Å; angles 90.00, 90.00, 90.00 degrees
Sites, in units of the cell vectors:
1 K 0.0000 0.0000 0.0000
2 K 0.5000 0.5000 0.5000
3 Ba 0.0000 0.0000 0.3644
4 Ba 0.0000 0.0000 0.6356
5 Ba 0.5000 0.5000 0.1356
6 Ba 0.5000 0.5000 0.8644
7 Li 0.0000 0.5000 0.2500
8 Li 0.0000 0.5000 0.7500
9 Li 0.5000 0.0000 0.2500
10 Li 0.5000 0.0000 0.7500

Summary:
Space group ... I4/mmm, No. 139



## three
A plane-wave DFT calculation with GGA-PBEsol was carried out for a relaxed structure of KBa2Li2.

Cell lengths 9.7418, 9.7418, 4.9226 Å; angles 90.00, 90.00, 90.00 degrees
Sites, in units of the cell vectors:
1 K 0.0000 0.0000 0.0000
2 K 0.5000 0.5000 0.0000
3 Ba 0.1678 0.3322 0.5000
4 Ba 0.3322 0.8322 0.5000
5 Ba 0.6678 0.1678 0.5000
6 Ba 0.8322 0.6678 0.5000
7 Li 0.1171 0.6171 0.0000
8 Li 0.3829 0.1171 0.0000
9 Li 0.6171 0.8829 0.0000
10 Li 0.8829 0.3829 0.0000

Summary:
Space group ... P4/mbm, No. 127



Relative energies in meV/atom: one 56; two 39; three 0



## one
A plane-wave DFT calculation with GGA-PBEsol was carried out for a relaxed structure of K2BaSrN.

Cell lengths 6.3910, 6.3910, 4.9300 Å; angles 90.00, 90.00, 90.00 degrees
Sites, in units of the cell vectors:
1 K 0.0000 0.5000 0.0000
2 K 0.5000 0.0000 0.0000
3 Ba 0.0000 0.0000 0.5000
4 Sr 0.5000 0.5000 0.5000
5 N 0.5000 0.5000 0.0000

Summary:
Space group ... P4/mmm, No. 123



## two
A plane-wave DFT calculation with GGA-PBEsol was carried out for a relaxed structure of K2BaSrN.

Cell lengths 6.4816, 6.4816, 4.9681 Å; angles 90.00, 90.00, 90.00 degrees
Sites, in units of the cell vectors:
1 K 0.0000 0.5000 0.0000
2 K 0.5000 0.0000 0.0000
3 Ba 0.0000 0.0000 0.5000
4 Sr 0.5000 0.5000 0.5000
5 N 0.0000 0.0000 0.0000

Summary:
Space group ... P4/mmm, No. 123



Relative energies in meV/atom: one 23; two 0



## one
A plane-wave DFT calculation with GGA-PBEsol was carried out for a relaxed structure of K2BaNa2.

Cell lengths 5.6014, 5.6014, 17.3878 Å; angles 90.00, 90.00, 90.00 degrees
Sites, in units of the cell vectors:
1 K 0.0000 0.5000 0.2500
2 K 0.0000 0.5000 0.7500
3 K 0.5000 0.0000 0.2500
4 K 0.5000 0.0000 0.7500
5 Ba 0.0000 0.0000 0.0000
6 Ba 0.5000 0.5000 0.5000
7 Na 0.0000 0.0000 0.4081
8 Na 0.0000 0.0000 0.5919
9 Na 0.5000 0.5000 0.0919
10 Na 0.5000 0.5000 0.9081

Summary:
Space group ... I4/mmm, No. 139



## two
A plane-wave DFT calculation with GGA-PBEsol was carried out for a relaxed structure of K2BaNa2.

Cell lengths 11.1293, 11.1293, 4.2693 Å; angles 90.00, 90.00, 90.00 degrees
Sites, in units of the cell vectors:
1 K 0.1279 0.3721 0.0000
2 K 0.3721 0.8721 0.0000
3 K 0.6279 0.1279 0.0000
4 K 0.8721 0.6279 0.0000
5 Ba 0.0000 0.0000 0.0000
6 Ba 0.5000 0.5000 0.0000
7 Na 0.1754 0.6754 0.5000
8 Na 0.3246 0.1754 0.5000
9 Na 0.6754 0.8246 0.5000
10 Na 0.8246 0.3246 0.5000

Summary:
Space group ... P4/mbm, No. 127



Relative energies in meV/atom: one 14; two 0



## one
A plane-wave DFT calculation with GGA-PBEsol was carried out for a relaxed structure of K2BaOs.

Cell lengths 3.2240, 3.2240, 39.6653 Å; angles 90.00, 90.00, 120.00 degrees
Sites, in units of the cell vectors:
1 K 0.0000 0.0000 0.2326
2 K 0.0000 0.0000 0.7674
3 K 0.3333 0.6667 0.4341
4 K 0.3333 0.6667 0.8993
5 K 0.6667 0.3333 0.1007
6 K 0.6667 0.3333 0.5659
7 Ba 0.0000 0.0000 0.0000
8 Ba 0.3333 0.6667 0.6667
9 Ba 0.6667 0.3333 0.3333
10 Os 0.0000 0.0000 0.5000
11 Os 0.3333 0.6667 0.1667
12 Os 0.6667 0.3333 0.8333

Summary:
Space group ... R-3m, No. 166



## two
A plane-wave DFT calculation with GGA-PBEsol was carried out for a relaxed structure of K2BaOs.

Cell lengths 4.6652, 4.6652, 5.9574 Å; angles 90.00, 90.00, 90.00 degrees
Sites, in units of the cell vectors:
1 K 0.0000 0.5000 0.0000
2 K 0.5000 0.0000 0.0000
3 Ba 0.0000 0.0000 0.5000
4 Os 0.5000 0.5000 0.5000

Summary:
Space group ... P4/mmm, No. 123



Relative energies in meV/atom: one 257; two 0



## one
A plane-wave DFT calculation with GGA-PBEsol was carried out for a relaxed structure of KBaPS2.

Cell lengths 5.2852, 5.2852, 5.8059 Å; angles 90.00, 90.00, 90.00 degrees
Sites, in units of the cell vectors:
1 K 0.0000 0.0000 0.0000
2 Ba 0.0000 0.0000 0.5000
3 P 0.5000 0.5000 0.5000
4 S 0.0000 0.5000 0.0000
5 S 0.5000 0.0000 0.0000

Summary:
Space group ... P4/mmm, No. 123



## two
A plane-wave DFT calculation with GGA-PBEsol was carried out for a relaxed structure of KBaPS2.

Cell lengths 5.3499, 5.3499, 5.0734 Å; angles 90.00, 90.00, 90.00 degrees
Sites, in units of the cell vectors:
1 K 0.0000 0.0000 0.0000
2 Ba 0.5000 0.5000 0.5000
3 P 0.0000 0.0000 0.5000
4 S 0.0000 0.5000 0.0000
5 S 0.5000 0.0000 0.0000

Summary:
Space group ... P4/mmm, No. 123



Relative energies in meV/atom: one 477; two 0



## one
A plane-wave DFT calculation with GGA-PBEsol was carried out for a relaxed structure of KBa2Pt.

Cell lengths 8.0945, 8.0945, 8.0945 Å; angles 90.00, 90.00, 90.00 degrees
Sites, in units of the cell vectors:
1 K 0.0000 0.0000 0.0000
2 K 0.0000 0.5000 0.5000
3 K 0.5000 0.0000 0.5000
4 K 0.5000 0.5000 0.0000
5 Ba 0.2500 0.2500 0.2500
6 Ba 0.2500 0.2500 0.7500
7 Ba 0.2500 0.7500 0.2500
8 Ba 0.2500 0.7500 0.7500
9 Ba 0.7500 0.2500 0.2500
10 Ba 0.7500 0.2500 0.7500
11 Ba 0.7500 0.7500 0.2500
12 Ba 0.7500 0.7500 0.7500
13 Pt 0.0000 0.0000 0.5000
14 Pt 0.0000 0.5000 0.0000
15 Pt 0.5000 0.0000 0.0000
16 Pt 0.5000 0.5000 0.5000

Summary:
Space group ... Fm-3m, No. 225



## two
A plane-wave DFT calculation with GGA-PBEsol was carried out for a relaxed structure of KBa2Pt.

Cell lengths 7.8713, 4.5351, 11.4439 Å; angles 90.00, 103.03, 90.00 degrees
Sites, in units of the cell vectors:
1 K 0.0000 0.0000 0.0000
2 K 0.5000 0.5000 0.0000
3 Ba 0.2155 0.0000 0.6481
4 Ba 0.2845 0.5000 0.3519
5 Ba 0.7155 0.5000 0.6481
6 Ba 0.7845 0.0000 0.3519
7 Pt 0.0000 0.5000 0.5000
8 Pt 0.5000 0.0000 0.5000

Summary:
Space group ... C2/m, No. 12



Relative energies in meV/atom: one 374; two 0